# PrSiGeRh3 PBE-GGA relaxed
# DOS at the Fermi energy in states/eV/f.u.: 1.3
# Total moment in μB/f.u.: 0.00
# E_form (uncorrected) in meV/atom: -716
# V in Å³ per cell: 482.8
data_PrSiGeRh3
_symmetry_space_group_name_H-M 'C m c m'
_symmetry_Int_Tables_number 63
_symmetry_space_group_name_Hall '-C 2c 2'
_cell_length_a 5.7537
_cell_length_b 14.6337
_cell_length_c 5.7344
_cell_angle_alpha 90.00
_cell_angle_beta 90.00
_cell_angle_gamma 90.00
loop_
_atom_site_label
_atom_site_type_symbol
_atom_site_fract_x
_atom_site_fract_y
_atom_site_fract_z
_atom_site_occupancy
Pr1 Pr 0.0000 0.2102 0.2500 1
Si1 Si 0.0000 0.0825 0.7500 1
Ge1 Ge 0.0000 0.4083 0.7500 1
Rh1 Rh 0.0000 0.2421 0.7500 1
Rh2 Rh 0.2467 0.0000 0.0000 1